[1]
Density functional theory data (GGA-PBE) for a relaxed structure of La2TiTlO6.

It has space group P4mm (No. 99), with a = 5.6319 Å, b = 5.6319 Å, c = 5.2520 Å, α = 90.00°, β = 90.00° and γ = 90.00°. Symmetry generates all atoms from La at (0.0000, 0.5000, 0.0000), Ti at (0.0000, 0.0000, 0.6184), Tl at (0.5000, 0.5000, 0.5497), O at (0.0000, 0.0000, 0.2735), O at (0.2268, 0.2268, 0.7553) and O at (0.5000, 0.5000, 0.1202).

For the formation energy from raw total energies, the calculation gives -253.7 kJ/mol of atoms.


[2]
Density functional theory data (GGA-PBE) for a relaxed structure of Sm3DyBi3.

It has space group P2_13 (No. 198), with a = 9.5349 Å, b = 9.5349 Å, c = 9.5349 Å, α = 90.00°, β = 90.00° and γ = 90.00°. Symmetry generates all atoms from Sm at (0.0692, 0.4308, 0.5692), Sm at (0.1766, 0.8234, 0.3234), Sm at (0.1779, 0.1779, 0.1779), Dy at (0.0734, 0.5734, 0.9266) and Bi at (0.0013, 0.2540, 0.8730).

The calculation puts the formation energy from the elements at -0.7843 eV/atom.


[3]
Density functional theory data (GGA-PBE) for a relaxed structure of AcGa3Au9.

It has space group C2/m (No. 12), with a = 5.5413 Å, b = 13.8340 Å, c = 6.9001 Å, α = 90.00°, β = 107.15° and γ = 90.00°. Symmetry generates all atoms from Ac at (0.0000, 0.0000, 0.0000), Ga at (0.0000, 0.5000, 0.5000), Ga at (0.2500, 0.2500, 0.0000), Au at (0.0000, 0.0000, 0.5000), Au at (0.0764, 0.3911, 0.2173) and Au at (0.1281, 0.1787, 0.3358).

The calculation puts the formation energy from the elements at -0.3157 eV/atom.


[4]
Density functional theory data (GGA-PBE) for a relaxed structure of TbIn5Pd6.

It has space group P2/m (No. 10), with a = 4.7083 Å, b = 6.7910 Å, c = 7.3312 Å, α = 90.00°, β = 108.27° and γ = 90.00°. Symmetry generates all atoms from Tb at (0.0000, 0.0000, 0.0000), In at (0.0000, 0.5000, 0.0000), In at (0.3348, 0.0000, 0.6669), In at (0.3380, 0.5000, 0.6739), Pd at (0.1689, 0.2578, 0.3422) and Pd at (0.5000, 0.2584, 0.0000).

The calculation puts the formation energy from the elements at -0.5970 eV/atom.


[5]
Density functional theory data (GGA-PBE) for a relaxed structure of GdErMgBi.

It has space group F-43m (No. 216), with a = 7.6738 Å, b = 7.6738 Å, c = 7.6738 Å, α = 90.00°, β = 90.00° and γ = 90.00°. Symmetry generates all atoms from Gd at (0.0000, 0.0000, 0.0000), Er at (0.0000, 0.0000, 0.5000), Mg at (0.2500, 0.2500, 0.7500) and Bi at (0.2500, 0.2500, 0.2500).

The calculation puts the formation energy from the elements at -0.3064 eV/atom.


[6]
Density functional theory data (GGA-PBE) for a relaxed structure of HgH6N2Cl2.

It has space group R-3m (No. 166, hexagonal axes), with a = 5.1056 Å, b = 5.1056 Å, c = 26.3189 Å, α = 90.00°, β = 90.00° and γ = 120.00°. Symmetry generates all atoms from Hg at (0.0000, 0.0000, 0.0000), H at (0.1041, 0.5521, 0.1263), N at (0.0000, 0.0000, 0.4726) and Cl at (0.0000, 0.0000, 0.2252).

As for the total energy: -4.119 eV/atom.


[7]
Density functional theory data (GGA-PBE) for a relaxed structure of CeHoMgPt.

It has space group F-43m (No. 216), with a = 7.2561 Å, b = 7.2561 Å, c = 7.2561 Å, α = 90.00°, β = 90.00° and γ = 90.00°. Symmetry generates all atoms from Ce at (0.0000, 0.0000, 0.0000), Ho at (0.0000, 0.0000, 0.5000), Mg at (0.2500, 0.2500, 0.2500) and Pt at (0.2500, 0.2500, 0.7500).

The calculation puts the formation energy from the elements at -0.4751 eV/atom.


[8]
Density functional theory data (GGA-PBE) for a relaxed structure of GdDyTm.

It has space group I4mm (No. 107), with a = 3.5425 Å, b = 3.5425 Å, c = 14.9699 Å, α = 90.00°, β = 90.00° and γ = 90.00°. Symmetry generates all atoms from Gd at (0.0000, 0.0000, 0.0000), Dy at (0.0000, 0.0000, 0.6692) and Tm at (0.0000, 0.0000, 0.3324).

The calculation puts the formation energy from the elements at 0.0244 eV/atom.


no.,spin magnetization (μB per formula unit),density of states at the Fermi level (states/eV/f.u.)
1,0.0,1.7
2,0.0,8.0
3,0.0,5.1
4,0.0,4.4
5,7.5,4.8
6,0.0,0.0
7,0.7,7.6
8,7.3,4.7